Record 1
{"formula": "HgBRuN", "functional": "PBE-GGA", "state": "optimized geometry", "lattice": [[2.8205, 0.0000, -0.0020], [0.0000, 2.9915, 0.0000], [-1.2331, 0.0000, 6.3664]], "species": ["B", "N", "Hg", "Ru"], "frac_coords": [[0.8972, 0.5000, 0.6289], [0.4363, 0.5000, 0.7073], [0.6177, 0.5000, 0.1314], [0.2454, 0.0000, 0.4660]], "e_form_raw_ev_per_atom": 0.15, "de_polymorph_mev_per_atom": 156.0, "density_g_cm3": 10.1, "magmom_total_mub_per_cell": 0.000}

Record 2
{"formula": "RbTeRu2Cl", "functional": "PBE-GGA", "state": "optimized geometry", "lattice": [[4.6121, 0.0000, 0.0000], [0.0000, 6.7870, 0.0000], [0.0000, 0.0000, 4.6121]], "species": ["Rb", "Ru", "Ru", "Cl", "Te"], "frac_coords": [[0.5000, 0.5000, 0.5000], [0.5000, 0.0000, 0.0000], [0.0000, 0.0000, 0.5000], [0.0000, 0.0000, 0.0000], [0.0000, 0.5000, 0.0000]], "e_form_raw_ev_per_atom": 1.06, "density_g_cm3": 5.2, "magmom_total_mub_per_cell": 5.011}

Record 3
{"formula": "Mn2RuPb", "functional": "PBE-GGA", "state": "optimized geometry", "lattice": [[3.1479, 0.0000, 0.0000], [0.0000, 3.1450, 0.1629], [0.0000, 2.8060, 7.3143]], "species": ["Pb", "Mn", "Ru", "Mn"], "frac_coords": [[0.5000, 0.2500, 0.2500], [0.0000, 0.0502, 0.9478], [0.5000, 0.7500, 0.7500], [0.0000, 0.4498, 0.5522]], "total_energy_ev_per_atom": -7.479, "density_g_cm3": 9.8, "magmom_total_mub_per_cell": 7.900}

Record 4
{"formula": "SmCd12Hg7", "functional": "PBE-GGA", "state": "optimized geometry", "lattice": [[-0.3881, 1.9869, -7.6897], [5.0378, -6.1217, -0.6121], [-6.7924, -4.1031, 0.5066]], "species": ["Cd", "Cd", "Sm", "Cd", "Hg", "Cd", "Cd", "Hg", "Hg", "Cd", "Cd", "Hg", "Cd", "Hg", "Cd", "Cd", "Hg", "Cd", "Cd", "Hg"], "frac_coords": [[0.3952, 0.3952, 0.8315], [0.0001, 0.2741, 0.7257], [0.0000, 0.0000, 0.0000], [0.6048, 0.6048, 0.1685], [0.5954, 0.8590, 0.8595], [0.6048, 0.1685, 0.6048], [0.2741, 0.7257, 0.0001], [0.8590, 0.8595, 0.5954], [0.4046, 0.1410, 0.1405], [0.3952, 0.8315, 0.3952], [0.7259, 0.2743, 0.9999], [0.1410, 0.1405, 0.4046], [0.7257, 0.0001, 0.2741], [0.8595, 0.5954, 0.8590], [0.2743, 0.9999, 0.7259], [0.1685, 0.6048, 0.6048], [0.5000, 0.5000, 0.5000], [0.9999, 0.7259, 0.2743], [0.8315, 0.3952, 0.3952], [0.1405, 0.4046, 0.1410]], "de_polymorph_mev_per_atom": 0.0, "density_g_cm3": 10.0, "magmom_total_mub_per_cell": 0.000}

Record 5
{"formula": "MnBeTe2", "functional": "PBE-GGA", "state": "optimized geometry", "lattice": [[-0.4129, -1.6547, 4.7033], [2.4763, -3.8437, -2.0306], [3.7841, -0.0610, 1.6434]], "species": ["Mn", "Be", "Te", "Te"], "frac_coords": [[0.0000, 0.5000, 0.5000], [0.5000, 0.0000, 0.5000], [0.5000, 0.5000, 0.0000], [0.0000, 0.0000, 0.0000]], "e_form_raw_ev_per_atom": 0.42, "density_g_cm3": 5.9, "magmom_total_mub_per_cell": 4.082}

Record 6
{"formula": "PmEr3Sb2", "functional": "PBE-GGA", "state": "optimized geometry", "lattice": [[4.3084, 0.0000, 0.0000], [-2.1542, 10.3000, -0.6105], [0.0000, -5.1736, 8.1728]], "species": ["Er", "Sb", "Er", "Pm", "Er", "Sb", "Er", "Sb", "Pm", "Sb", "Er", "Er"], "frac_coords": [[0.3576, 0.7151, 0.1917], [0.5115, 0.0230, 0.1780], [0.6883, 0.3767, 0.4866], [0.8892, 0.7784, 0.8985], [0.6424, 0.2849, 0.8083], [0.7533, 0.5066, 0.2211], [0.3117, 0.6233, 0.5134], [0.2467, 0.4934, 0.7789], [0.1108, 0.2216, 0.1015], [0.4885, 0.9770, 0.8220], [0.9429, 0.8858, 0.5605], [0.0571, 0.1142, 0.4395]], "e_form_raw_ev_per_atom": -0.68, "density_g_cm3": 8.5, "magmom_total_mub_per_cell": 0.001}

Record 7
{"formula": "Pm5ZnGe3", "functional": "PBE-GGA", "state": "optimized geometry", "lattice": [[-4.1201, -4.7191, -1.6193], [2.5348, -4.7254, 7.3218], [-6.9161, 5.8509, 0.5459]], "species": ["Pm", "Pm", "Pm", "Zn", "Ge", "Pm", "Ge", "Ge", "Ge", "Pm", "Pm", "Pm", "Ge", "Pm", "Pm", "Zn", "Ge", "Pm"], "frac_coords": [[0.2500, 0.0000, 0.7205], [0.7500, 0.0000, 0.2795], [0.0000, 0.3333, 0.6667], [0.5000, 0.0000, 0.0000], [0.7500, 0.3715, 0.3715], [0.0000, 0.6667, 0.3333], [0.7500, 0.0000, 0.6285], [0.2500, 0.0000, 0.3715], [0.7500, 0.6285, 0.0000], [0.2500, 0.7205, 0.0000], [0.7500, 0.7205, 0.7205], [0.5000, 0.6667, 0.3333], [0.2500, 0.3715, 0.0000], [0.5000, 0.3333, 0.6667], [0.7500, 0.2795, 0.0000], [0.0000, 0.0000, 0.0000], [0.2500, 0.6285, 0.6285], [0.2500, 0.2795, 0.2795]], "total_energy_ev_per_atom": -4.963, "density_g_cm3": 7.3, "magmom_total_mub_per_cell": 0.000}

Record 8
{"formula": "AgHgTe2", "functional": "PBE-GGA", "state": "optimized geometry", "lattice": [[-2.2081, 0.4117, -2.2497], [2.0825, -0.9310, -2.2143], [-3.3701, -10.7342, 1.3435]], "species": ["Te", "Te", "Ag", "Hg"], "frac_coords": [[0.0000, 0.0000, 0.4523], [0.0000, 0.0000, 0.0477], [0.5000, 0.5000, 0.2500], [0.5000, 0.5000, 0.7500]], "e_form_raw_ev_per_atom": 0.11, "density_g_cm3": 8.2, "magmom_total_mub_per_cell": 0.000}

Record 9
{"formula": "Ce8Ir3Rh2", "functional": "PBE-GGA", "state": "optimized geometry", "lattice": [[6.7271, 0.0000, -0.7334], [0.0000, 7.7343, 0.0000], [-3.4462, -3.8671, 7.1698]], "species": ["Ce", "Ce", "Ce", "Ir", "Ir", "Ce", "Rh", "Ir", "Rh", "Ce", "Ce", "Ce", "Ce"], "frac_coords": [[0.0312, 0.6566, 0.3132], [0.4749, 0.3773, 0.2332], [0.9688, 0.3434, 0.6868], [0.0000, 0.2978, 0.0000], [0.0000, 0.7022, 0.0000], [0.0131, 0.8893, 0.7786], [0.4723, 0.2425, 0.4849], [0.5000, 0.0000, 0.0000], [0.5277, 0.7575, 0.5151], [0.4749, 0.8559, 0.2332], [0.9869, 0.1107, 0.2214], [0.5251, 0.1441, 0.7668], [0.5251, 0.6227, 0.7668]], "total_energy_ev_per_atom": -7.343, "density_g_cm3": 8.9, "magmom_total_mub_per_cell": 5.646}

Record 10
{"formula": "Ba2Ga3Si", "functional": "PBE-GGA", "state": "optimized geometry", "lattice": [[6.7308, -0.3214, 0.0000], [-0.7356, 6.6982, 0.0000], [-2.9976, -3.1884, 7.5851]], "species": ["Ba", "Ga", "Ga", "Ga", "Ba", "Si", "Ba", "Ga", "Si", "Ba", "Ga", "Ga"], "frac_coords": [[0.7445, 0.2555, 0.0000], [0.3356, 0.3356, 0.1688], [0.8319, 0.8319, 0.6638], [0.1669, 0.1669, 0.8312], [0.2555, 0.7445, 0.0000], [0.3328, 0.3328, 0.6656], [0.7500, 0.2500, 0.5000], [0.1681, 0.1681, 0.3362], [0.6672, 0.6672, 0.3344], [0.2500, 0.7500, 0.5000], [0.6644, 0.6644, 0.8312], [0.8331, 0.8331, 0.1688]], "e_form_raw_ev_per_atom": -0.48, "density_g_cm3": 5.0, "magmom_total_mub_per_cell": 0.000}

Record 11
{"formula": "Be3Ir", "functional": "PBE-GGA", "state": "optimized geometry", "lattice": [[-2.2908, 1.2298, -3.4802], [4.1091, -1.1948, -0.7478], [-2.1504, -2.3261, 2.9727]], "species": ["Ir", "Be", "Be", "Be"], "frac_coords": [[0.5000, 0.5000, 0.0000], [0.0000, 0.5000, 0.5000], [0.5000, 0.0000, 0.5000], [0.0000, 0.0000, 0.0000]], "total_energy_ev_per_atom": -5.171, "density_g_cm3": 8.8, "magmom_total_mub_per_cell": 0.000}

Record 12
{"formula": "CaPuIrRu", "functional": "PBE-GGA", "state": "optimized geometry", "lattice": [[4.7857, 0.0000, 0.0000], [2.3928, 4.1445, 0.0000], [2.3928, 1.3815, 3.9075]], "species": ["Ca", "Ir", "Pu", "Ru"], "frac_coords": [[0.5000, 0.5000, 0.5000], [0.2500, 0.2500, 0.2500], [0.0000, 0.0000, 0.0000], [0.7500, 0.7500, 0.7500]], "total_energy_ev_per_atom": -8.774, "density_g_cm3": 12.4, "magmom_total_mub_per_cell": 3.944}